[1]
KLiBr2 | PBE | optimized geometry

Formation energy without anion corrections, eV/f.u.: -5.50
Symmetry: No. 119

Cell lengths 8.446, 8.446, 8.446 Å; angles 150.75, 150.75, 41.84 degrees
Fractional positions:
K (0.000, 0.000, 0.000)
Li (0.250, 0.750, 0.500)
Br (0.500, 0.500, 0.000)
Br (0.750, 0.250, 0.500)

=====

[2]
KLiBr2 | PBE | optimized geometry

Formation energy without anion corrections, eV/f.u.: -6.43
Symmetry: No. 122

Cell lengths 6.956, 6.956, 6.956 Å; angles 114.55, 114.55, 99.73 degrees
Fractional positions:
K (0.000, 0.000, 0.000)
K (0.750, 0.250, 0.500)
Li (0.250, 0.750, 0.500)
Li (0.500, 0.500, 0.000)
Br (0.199, 0.125, 0.574)
Br (0.375, 0.801, 0.926)
Br (0.551, 0.625, 0.426)
Br (0.875, 0.449, 0.074)

=====

[3]
KLiBr2 | PBE | optimized geometry

Formation energy without anion corrections, eV/f.u.: -5.59
Symmetry: No. 12

Cell lengths 5.412, 5.412, 3.823 Å; angles 91.02, 91.02, 90.00 degrees
Fractional positions:
K (0.000, 0.000, 0.000)
Li (0.500, 0.500, 0.000)
Br (0.000, 0.500, 0.500)
Br (0.500, 0.000, 0.500)

=====

[4]
K2LiBr | PBE | optimized geometry

Formation energy without anion corrections, eV/f.u.: -2.71
Symmetry: No. 160

Cell lengths 11.374, 11.374, 11.374 Å; angles 21.74, 21.74, 21.74 degrees
Fractional positions:
K (0.000, 0.000, 0.000)
K (0.213, 0.213, 0.213)
Li (0.441, 0.441, 0.441)
Br (0.742, 0.742, 0.742)

=====

[5]
K2LiBr | PBE | optimized geometry

Formation energy without anion corrections, eV/f.u.: -2.20
Symmetry: No. 119

Cell lengths 8.273, 8.273, 8.273 Å; angles 145.81, 145.81, 49.12 degrees
Fractional positions:
K (0.000, 0.000, 0.000)
K (0.750, 0.250, 0.500)
Li (0.250, 0.750, 0.500)
Br (0.500, 0.500, 0.000)

=====

[6]
K2LiBr3 | PBE | optimized geometry

Formation energy without anion corrections, eV/f.u.: -10.03
Symmetry: No. 62

Cell lengths 9.393, 4.510, 18.184 Å; angles 90.00, 90.00, 90.00 degrees
Fractional positions:
K (0.081, 0.250, 0.214)
K (0.241, 0.250, 0.955)
K (0.259, 0.750, 0.455)
K (0.419, 0.750, 0.714)
K (0.581, 0.250, 0.286)
K (0.741, 0.250, 0.545)
K (0.759, 0.750, 0.045)
K (0.919, 0.750, 0.786)
Li (0.127, 0.250, 0.632)
Li (0.373, 0.750, 0.132)
Li (0.627, 0.250, 0.868)
Li (0.873, 0.750, 0.368)
Br (0.000, 0.250, 0.399)
Br (0.000, 0.750, 0.601)
Br (0.130, 0.750, 0.073)
Br (0.180, 0.250, 0.770)
Br (0.320, 0.750, 0.270)
Br (0.370, 0.250, 0.573)
Br (0.500, 0.250, 0.101)
Br (0.500, 0.750, 0.899)
Br (0.630, 0.750, 0.427)
Br (0.680, 0.250, 0.730)
Br (0.820, 0.750, 0.230)
Br (0.870, 0.250, 0.927)

=====

[7]
KLiBr | PBE | optimized geometry

Formation energy without anion corrections, eV/f.u.: -2.91
Symmetry: No. 8

Cell lengths 7.340, 7.340, 8.004 Å; angles 122.07, 122.07, 34.50 degrees
Fractional positions:
K (0.000, 0.000, 0.000)
K (0.158, 0.158, 0.596)
Li (0.407, 0.407, 0.555)
Li (0.798, 0.798, 0.242)
Br (0.424, 0.424, 0.244)
Br (0.624, 0.624, 0.872)

=====

[8]
K2LiBr3 | PBE | optimized geometry

Formation energy without anion corrections, eV/f.u.: -9.77
Symmetry: No. 15

Cell lengths 7.834, 7.834, 8.685 Å; angles 106.13, 106.13, 50.51 degrees
Fractional positions:
K (0.173, 0.173, 0.087)
K (0.173, 0.173, 0.587)
K (0.827, 0.827, 0.413)
K (0.827, 0.827, 0.913)
Li (0.436, 0.564, 0.750)
Li (0.564, 0.436, 0.250)
Br (0.054, 0.946, 0.750)
Br (0.358, 0.359, 0.930)
Br (0.359, 0.358, 0.430)
Br (0.641, 0.642, 0.570)
Br (0.642, 0.641, 0.070)
Br (0.946, 0.054, 0.250)

=====

[9]
KLi2Br | PBE | optimized geometry

Formation energy without anion corrections, eV/f.u.: -1.89
Symmetry: No. 123

Cell lengths 3.612, 3.612, 9.914 Å; angles 90.00, 90.00, 90.00 degrees
Fractional positions:
K (0.000, 0.000, 0.000)
Li (0.500, 0.500, 0.339)
Li (0.500, 0.500, 0.661)
Br (0.000, 0.000, 0.500)

=====

[10]
KLi2Br | PBE | optimized geometry

Formation energy without anion corrections, eV/f.u.: -2.49
Symmetry: No. 8

Cell lengths 3.979, 3.979, 9.878 Å; angles 101.23, 101.23, 59.79 degrees
Fractional positions:
K (0.000, 0.000, 0.000)
Li (0.223, 0.223, 0.672)
Li (0.460, 0.460, 0.393)
Br (0.750, 0.750, 0.258)

=====

[11]
KLiBr2 | PBE | optimized geometry

Formation energy without anion corrections, eV/f.u.: -6.34
Symmetry: No. 166

Cell lengths 7.677, 7.677, 7.677 Å; angles 32.12, 32.12, 32.12 degrees
Fractional positions:
K (0.000, 0.000, 0.000)
Li (0.500, 0.500, 0.500)
Br (0.235, 0.235, 0.235)
Br (0.765, 0.765, 0.765)

=====

[12]
KLiBr2 | PBE | optimized geometry

Formation energy without anion corrections, eV/f.u.: -6.32
Symmetry: No. 8

Cell lengths 7.637, 7.637, 4.657 Å; angles 96.15, 96.15, 31.60 degrees
Fractional positions:
K (0.000, 0.000, 0.000)
Li (0.262, 0.262, 0.277)
Br (0.423, 0.423, 0.475)
Br (0.684, 0.684, 0.087)

=====

no.,final energy (eV/atom)
1,-2.964
2,-3.196
3,-2.986
4,-2.122
5,-1.996
6,-3.193
7,-2.530
8,-3.150
9,-2.123
10,-2.271
11,-3.174
12,-3.170